# GGA-PBE MgAs2Rh, relaxed
# **Energy of formation from the pure elements**: -0.23 eV/atom
# **DFT total energy**: -4.7924 eV/atom
# **Density of states at the Fermi level**: 2.32 states/eV/cell
data_MgAs2Rh
_chemical_formula_sum 'Mg1 As2 Rh1'
_symmetry_space_group_name_H-M 'P m m 2'
_symmetry_Int_Tables_number 25
_symmetry_space_group_name_Hall 'P 2 -2'
_cell_length_a 3.0605
_cell_length_b 4.0261
_cell_length_c 5.5670
_cell_angle_alpha 90.00
_cell_angle_beta 90.00
_cell_angle_gamma 90.00
loop_
_atom_site_label
_atom_site_type_symbol
_atom_site_fract_x
_atom_site_fract_y
_atom_site_fract_z
Mg1 Mg 0.0000 0.0000 0.0000
As1 As 0.0000 0.0000 0.4791
As2 As 0.5000 0.5000 0.8273
Rh1 Rh 0.5000 0.5000 0.3352